No. 1
Here is a geometry-optimized Cu7Pd3Au structure from Alexandria. Energies are from PBE.

a = 2.7101 Å, b = 19.9002 Å, c = 11.9130 Å
α = 90.00°, β = 90.00°, γ = 90.00°
With the nearest neighbours (Å) after each atom.
Space group Cmcm (No. 63)
One atom of each set of equivalent atoms:
Cu  0.0000  0.0362  0.0830  6 Cu 2.45-2.71, 2 Pd 2.63, 2 Au 2.65
Cu  0.0000  0.0951  0.6019  5 Cu 2.50-2.71, 4 Pd 2.65-2.69, 2 Au 2.69
Cu  0.0000  0.1182  0.2500  4 Cu 2.57-2.71, 4 Pd 2.64
Cu  0.0000  0.2235  0.5821  5 Pd 2.54-2.68, 5 Cu 2.57-2.71
Pd  0.0000  0.3288  0.2500  8 Cu 2.63-2.69, 2 Pd 2.71
Pd  0.0000  0.3510  0.5671  9 Cu 2.54-2.68, 2 Pd 2.71
Au  0.0000  0.4806  0.2500  8 Cu 2.65-2.69, 2 Au 2.71

* excess energy over the best structure of this formula in the dataset: 0.0 meV/atom
* formation energy: 0.68 eV/f.u.
* size of the total moment: 0.00 μB per atom


No. 2
Here is a geometry-optimized CuPdAu3 structure from Alexandria. Energies are from PBE.

a = 4.3638 Å, b = 5.5701 Å, c = 7.3452 Å
α = 90.00°, β = 90.00°, γ = 90.00°
With the nearest neighbours (Å) after each atom.
Space group Pmmn (No. 59, origin choice 2)
One atom of each set of equivalent atoms:
Cu  0.2500  0.2500  0.0818  7 Au 2.55-2.74
Pd  0.2500  0.7500  0.3432  8 Au 2.75-2.86
Au  0.2500  0.2500  0.4293  1 Cu 2.55, 4 Pd 2.75-2.86
Au  0.2500  0.5061  0.7889  3 Cu 2.58-2.74, 2 Au 2.72-2.85, 2 Pd 2.78

* excess energy over the best structure of this formula in the dataset: 43.9 meV/atom
* formation energy: 0.44 eV/f.u.
* size of the total moment: 0.00 μB per atom


No. 3
Here is a geometry-optimized Cu5Pd2Au2 structure from Alexandria. Energies are from PBE.

a = 17.4414 Å, b = 4.8446 Å, c = 6.6104 Å
α = 90.00°, β = 112.17°, γ = 90.00°
With the nearest neighbours (Å) after each atom.
Space group C2 (No. 5)
One atom of each set of equivalent atoms:
Cu  0.0977  0.9998  0.3458  5 Cu 2.42-2.56, 2 Au 2.59, 1 Pd 2.70
Cu  0.0977  0.5000  0.3488  5 Cu 2.42-2.56, 2 Au 2.58-2.59, 1 Pd 2.70
Cu  0.1685  0.7563  0.7110  5 Cu 2.55-2.64, 4 Au 2.68-2.79, 1 Pd 2.71
Cu  0.1686  0.2563  0.1261  5 Cu 2.54-2.64, 4 Au 2.68-2.79, 1 Pd 2.72
Cu  0.2500  0.0102  0.5003  8 Cu 2.42-2.64, 2 Au 2.63-2.65
Pd  0.0769  0.2518  0.6901  5 Cu 2.70-2.89, 4 Au 2.80-2.84, 3 Pd 2.90-3.02
Pd  0.0768  0.7518  0.9631  5 Cu 2.70-2.90, 4 Au 2.80-2.84, 3 Pd 2.90-3.02
Au  0.0000  0.2522  0.0000  6 Cu 2.59-2.74, 6 Pd 2.82-2.84
Au  0.0000  0.7523  0.5000  6 Cu 2.58-2.74, 6 Pd 2.82-2.84
Au  0.2501  0.2578  0.8547  8 Cu 2.63-2.79, 2 Pd 2.80

* excess energy over the best structure of this formula in the dataset: 46.1 meV/atom
* formation energy: -0.22 eV/f.u.
* size of the total moment: 0.00 μB per atom


No. 4
Here is a geometry-optimized Cu6PdAu3 structure from Alexandria. Energies are from PBE.

a = 8.3217 Å, b = 3.9549 Å, c = 8.6577 Å
α = 90.00°, β = 93.03°, γ = 90.00°
With the nearest neighbours (Å) after each atom.
Space group P2_1/m (No. 11)
One atom of each set of equivalent atoms:
Cu  0.0472  0.2500  0.3986  4 Au 2.59-2.70, 1 Pd 2.63, 7 Cu 2.67-2.78
Cu  0.1390  0.7500  0.1977  5 Cu 2.57-2.82, 3 Pd 2.63-2.69, 4 Au 2.74-2.78
Cu  0.1464  0.2500  0.7013  8 Cu 2.57-2.71, 2 Pd 2.74, 2 Au 2.74
Cu  0.2405  0.2500  0.9913  5 Cu 2.59-2.82, 3 Pd 2.64-2.67, 4 Au 2.75-2.77
Cu  0.3426  0.7500  0.7992  1 Pd 2.60, 5 Au 2.61-2.77, 6 Cu 2.67-2.77
Cu  0.4454  0.2500  0.6028  5 Cu 2.67-2.84, 7 Au 2.69-2.81
Pd  0.0511  0.7500  0.8947  10 Cu 2.60-2.74, 2 Pd 2.85
Au  0.2435  0.7500  0.5077  10 Cu 2.59-2.81, 2 Au 2.84
Au  0.3465  0.2500  0.2998  8 Cu 2.68-2.77, 4 Au 2.79-2.84
Au  0.4466  0.7500  0.0986  8 Cu 2.69-2.76, 4 Au 2.79

* formation energy: -0.60 eV/f.u.
* size of the total moment: 0.00 μB per atom


No. 5
Here is a geometry-optimized Cu5PdAu6 structure from Alexandria. Energies are from PBE.

a = 4.0761 Å, b = 7.4623 Å, c = 12.1341 Å
α = 90.00°, β = 90.00°, γ = 90.00°
With the nearest neighbours (Å) after each atom.
Space group Immm (No. 71)
One atom of each set of equivalent atoms:
Cu  0.0000  0.0000  0.0000  8 Au 2.69-2.72, 4 Cu 2.92
Cu  0.0000  0.0000  0.3388  8 Au 2.74-2.81, 2 Pd 2.82, 2 Cu 2.87
Cu  0.0000  0.5000  0.3275  8 Au 2.72-2.73, 4 Cu 2.87-2.92
Pd  0.0000  0.5000  0.0000  8 Au 2.81-2.84, 4 Cu 2.82
Au  0.0000  0.2409  0.1686  7 Cu 2.72-2.81, 1 Pd 2.81, 4 Au 2.84-2.89
Au  0.0000  0.2646  0.5000  6 Cu 2.69-2.78, 2 Pd 2.84, 4 Au 2.89

* excess energy over the best structure of this formula in the dataset: 0.0 meV/atom
* formation energy: -0.78 eV/f.u.
* size of the total moment: 0.00 μB per atom


No. 6
Here is a geometry-optimized Cu2Pd4Au5 structure from Alexandria. Energies are from PBE.

a = 19.3480 Å, b = 2.8056 Å, c = 6.7288 Å
α = 90.00°, β = 96.76°, γ = 90.00°
With the nearest neighbours (Å) after each atom.
Space group C2/m (No. 12)
One atom of each set of equivalent atoms:
Cu  0.0853  0.0000  0.1853  5 Pd 2.70-2.79, 2 Cu 2.81, 5 Au 2.83-2.85
Pd  0.0401  0.5000  0.8523  3 Pd 2.66-2.81, 4 Cu 2.70-2.79, 4 Au 2.74-2.90
Pd  0.2254  0.0000  0.3244  1 Cu 2.76, 4 Pd 2.81-2.82, 6 Au 2.81-2.83
Au  0.0000  0.0000  0.5000  4 Pd 2.78, 6 Au 2.81-2.89, 2 Cu 2.83
Au  0.1316  0.5000  0.5407  5 Au 2.81-2.92, 4 Pd 2.81-2.90, 2 Cu 2.83
Au  0.1808  0.5000  0.9687  4 Pd 2.74-2.83, 5 Au 2.81-3.01, 2 Cu 2.85

* excess energy over the best structure of this formula in the dataset: 0.0 meV/atom
* formation energy: -0.18 eV/f.u.
* size of the total moment: 0.00 μB per atom


No. 7
Here is a geometry-optimized Cu8PdAu6 structure from Alexandria. Energies are from PBE.

a = 7.4663 Å, b = 7.4663 Å, c = 14.3391 Å
α = 90.00°, β = 90.00°, γ = 120.00°
With the nearest neighbours (Å) after each atom.
Space group R-3 (No. 148, hexagonal axes)
One atom of each set of equivalent atoms:
Cu  0.0000  0.0000  0.1905  6 Cu 2.46-2.57, 1 Pd 2.73
Cu  0.0162  0.4178  0.5735  3 Cu 2.46-2.57, 1 Pd 2.54, 5 Au 2.61-2.70
Pd  0.0000  0.0000  0.0000  8 Cu 2.54-2.73
Au  0.0142  0.2389  0.4124  5 Cu 2.61-2.70

* formation energy: 1.13 eV/f.u.
* size of the total moment: 0.00 μB per atom


No. 8
Here is a geometry-optimized Cu2Pd2Au5 structure from Alexandria. Energies are from PBE.

a = 14.1938 Å, b = 6.6155 Å, c = 6.6073 Å
α = 90.00°, β = 90.00°, γ = 90.00°
With the nearest neighbours (Å) after each atom.
Space group Cmce (No. 64)
One atom of each set of equivalent atoms:
Cu  0.0000  0.1281  0.1278  1 Cu 2.39, 4 Au 2.60
Pd  0.2180  0.0000  0.5000  6 Au 2.72-2.77
Au  0.0000  0.0000  0.5000  4 Cu 2.60
Au  0.1272  0.1723  0.8276  3 Cu 2.60-2.70, 3 Pd 2.72-2.77

* excess energy over the best structure of this formula in the dataset: 171.9 meV/atom
* formation energy: 0.94 eV/f.u.
* size of the total moment: 0.00 μB per atom